Compound: BaTa2Sb
Source: Alexandria
Functional: PBE
Structure: relaxed

Computed properties:
magnetic moment = 0.00 μB per formula unit
calculated density = 9.81 g cm⁻³
uncorrected formation energy = 507 meV per atom
space group = P4/mmm, No. 123
crystal system = tetragonal

abc: 3.7388 3.7388 7.5224
angles: 90.00 90.00 90.00
Closest atoms and distances in Å follow each position.
Fractional coordinates of all 4 atoms:
Ta 0.0000 0.0000 0.5843  1 Ta 2.49
Ta 0.0000 0.0000 0.9157  1 Ta 2.49
Sb 0.5000 0.5000 0.7500  8 Ta 2.92
Ba 0.5000 0.5000 0.2500  8 Ta 3.65, 4 Ba 3.74, 2 Sb 3.76